The following is a DFT calculation (GGA-PBE) of crystalline Tc3HOs at its relaxed geometry.

a b c (Å): 3.916 3.916 3.916
angles (deg): 90.00 90.00 90.00
Element x y z (fractional)
Tc: 0.000 0.000 0.500
Tc: 0.000 0.500 0.000
Tc: 0.500 0.000 0.000
H: 0.000 0.000 0.000
Os: 0.500 0.500 0.500

**Offset from the most stable computed form**: 0.000 eV per formula unit
**Spin magnetization**: 0.000 μB/atom
**Energy**: -9.07 eV per atom